a.
Material: SmDyInSn
Method: DFT, GGA-PBE
State: relaxed

```
data_SmDyInSn
_cell_length_a 7.611
_cell_length_b 7.611
_cell_length_c 7.611
_cell_angle_alpha 90.00
_cell_angle_beta 90.00
_cell_angle_gamma 90.00
_symmetry_space_group_name_H-M 'F -4 3 m'
_symmetry_Int_Tables_number 216
_symmetry_space_group_name_Hall 'F -4 2 3'
loop_
_atom_site_label
_atom_site_fract_x
_atom_site_fract_y
_atom_site_fract_z
Sm1 0.000 0.000 0.000
Dy1 0.000 0.000 0.500
In1 0.250 0.250 0.750
Sn1 0.250 0.250 0.250
```


b.
Material: SmDyInSn
Method: DFT, GGA-PBE
State: relaxed

```
data_SmDyInSn
_cell_length_a 4.347
_cell_length_b 4.595
_cell_length_c 11.541
_cell_angle_alpha 90.00
_cell_angle_beta 90.00
_cell_angle_gamma 90.00
_symmetry_space_group_name_H-M 'A m m 2'
_symmetry_Int_Tables_number 38
loop_
_symmetry_equiv_pos_as_xyz
'x,y,z'
'-x,-y,z'
'-x,y,z'
'x,-y,z'
'x,y+1/2,z+1/2'
'-x,-y+1/2,z+1/2'
'-x,y+1/2,z+1/2'
'x,-y+1/2,z+1/2'
loop_
_atom_site_label
_atom_site_fract_x
_atom_site_fract_y
_atom_site_fract_z
Sm1 0.000 0.000 0.000
Dy1 0.500 0.000 0.727
In1 0.500 0.000 0.451
Sn1 0.000 0.000 0.276
```


Energies in meV per atom, measured from the most stable structure: a 102; b 0.


a.
Material: SmDyZnIn
Method: DFT, GGA-PBE
State: relaxed

```
data_SmDyZnIn
_cell_length_a 3.674
_cell_length_b 3.674
_cell_length_c 7.524
_cell_angle_alpha 90.00
_cell_angle_beta 90.00
_cell_angle_gamma 90.00
_symmetry_space_group_name_H-M 'P 4 m m'
_symmetry_Int_Tables_number 99
loop_
_symmetry_equiv_pos_as_xyz
'x,y,z'
'-y,x,z'
'-x,-y,z'
'y,-x,z'
'-x,y,z'
'y,x,z'
'x,-y,z'
'-y,-x,z'
loop_
_atom_site_label
_atom_site_fract_x
_atom_site_fract_y
_atom_site_fract_z
Sm1 0.000 0.000 0.000
Dy1 0.000 0.000 0.461
Zn1 0.500 0.500 0.242
In1 0.500 0.500 0.723
```


b.
Material: SmDyZnIn
Method: DFT, GGA-PBE
State: relaxed

```
data_SmDyZnIn
_cell_length_a 7.434
_cell_length_b 7.434
_cell_length_c 7.434
_cell_angle_alpha 90.00
_cell_angle_beta 90.00
_cell_angle_gamma 90.00
_symmetry_space_group_name_H-M 'F -4 3 m'
_symmetry_Int_Tables_number 216
_symmetry_space_group_name_Hall 'F -4 2 3'
loop_
_atom_site_label
_atom_site_fract_x
_atom_site_fract_y
_atom_site_fract_z
Sm1 0.000 0.000 0.000
Dy1 0.000 0.000 0.500
Zn1 0.250 0.250 0.750
In1 0.250 0.250 0.250
```


Energies in meV per atom, measured from the most stable structure: a 0; b 22.


a.
Material: DyInSn
Method: DFT, GGA-PBE
State: relaxed

```
data_DyInSn
_cell_length_a 5.953
_cell_length_b 8.519
_cell_length_c 6.355
_cell_angle_alpha 90.00
_cell_angle_beta 90.00
_cell_angle_gamma 90.00
_symmetry_space_group_name_H-M 'C m c m'
_symmetry_Int_Tables_number 63
_symmetry_space_group_name_Hall '-C 2c 2'
loop_
_atom_site_label
_atom_site_fract_x
_atom_site_fract_y
_atom_site_fract_z
Dy1 0.000 0.176 0.250
In1 0.000 0.186 0.750
Sn1 0.000 0.500 0.000
```


b.
Material: DyInSn
Method: DFT, GGA-PBE
State: relaxed

```
data_DyInSn
_cell_length_a 5.1836
_cell_length_b 5.1836
_cell_length_c 3.3637
_cell_angle_alpha 90.00
_cell_angle_beta 90.00
_cell_angle_gamma 120.00
_symmetry_space_group_name_H-M 'P 3 m 1'
_symmetry_Int_Tables_number 156
loop_
_symmetry_equiv_pos_as_xyz
'x,y,z'
'-y,x-y,z'
'-x+y,-x,z'
'-y,-x,z'
'-x+y,y,z'
'x,x-y,z'
loop_
_atom_site_label
_atom_site_fract_x
_atom_site_fract_y
_atom_site_fract_z
Dy1 0.0000 0.0000 0.0000
In1 0.3333 0.6667 0.5040
Sn1 0.6667 0.3333 0.4964
```


Energies in meV per atom, measured from the most stable structure: a 41; b 0.


a.
Material: DyIn2Sn
Method: DFT, GGA-PBE
State: relaxed

```
data_DyIn2Sn
_cell_length_a 7.580
_cell_length_b 7.580
_cell_length_c 7.580
_cell_angle_alpha 90.00
_cell_angle_beta 90.00
_cell_angle_gamma 90.00
_symmetry_space_group_name_H-M 'F m -3 m'
_symmetry_Int_Tables_number 225
_symmetry_space_group_name_Hall '-F 4 2 3'
loop_
_atom_site_label
_atom_site_fract_x
_atom_site_fract_y
_atom_site_fract_z
Dy1 0.000 0.000 0.000
In1 0.250 0.250 0.250
Sn1 0.000 0.000 0.500
```


b.
Material: DyIn2Sn
Method: DFT, GGA-PBE
State: relaxed

```
data_DyIn2Sn
_cell_length_a 4.555
_cell_length_b 4.555
_cell_length_c 4.886
_cell_angle_alpha 90.00
_cell_angle_beta 90.00
_cell_angle_gamma 90.00
_symmetry_space_group_name_H-M 'P 4/m m m'
_symmetry_Int_Tables_number 123
_symmetry_space_group_name_Hall '-P 4 2'
loop_
_atom_site_label
_atom_site_fract_x
_atom_site_fract_y
_atom_site_fract_z
Dy1 0.000 0.000 0.000
In1 0.000 0.500 0.500
Sn1 0.500 0.500 0.000
```


Energies in meV per atom, measured from the most stable structure: a 267; b 0.


a.
Material: Dy2InSn4
Method: DFT, GGA-PBE
State: relaxed

```
data_Dy2InSn4
_cell_length_a 9.102
_cell_length_b 9.212
_cell_length_c 6.476
_cell_angle_alpha 90.00
_cell_angle_beta 134.21
_cell_angle_gamma 90.00
_symmetry_space_group_name_H-M 'C 1 2/m 1'
_symmetry_Int_Tables_number 12
loop_
_symmetry_equiv_pos_as_xyz
'x,y,z'
'-x,-y,-z'
'-x,y,-z'
'x,-y,z'
'x+1/2,y+1/2,z'
'-x+1/2,-y+1/2,-z'
'-x+1/2,y+1/2,-z'
'x+1/2,-y+1/2,z'
loop_
_atom_site_label
_atom_site_fract_x
_atom_site_fract_y
_atom_site_fract_z
Dy1 0.250 0.250 0.000
In1 0.000 0.000 0.500
Sn1 0.000 0.000 0.000
Sn2 0.000 0.500 0.000
Sn3 0.250 0.250 0.500
```


b.
Material: Dy2InSn4
Method: DFT, GGA-PBE
State: relaxed

```
data_Dy2InSn4
_cell_length_a 4.416
_cell_length_b 4.416
_cell_length_c 9.940
_cell_angle_alpha 90.00
_cell_angle_beta 90.00
_cell_angle_gamma 90.00
_symmetry_space_group_name_H-M 'P -4 m 2'
_symmetry_Int_Tables_number 115
loop_
_symmetry_equiv_pos_as_xyz
'x,y,z'
'y,-x,-z'
'-x,-y,z'
'-y,x,-z'
'-x,y,z'
'-y,-x,-z'
'x,-y,z'
'y,x,-z'
loop_
_atom_site_label
_atom_site_fract_x
_atom_site_fract_y
_atom_site_fract_z
Dy1 0.000 0.500 0.248
In1 0.000 0.000 0.500
Sn1 0.000 0.000 0.000
Sn2 0.000 0.500 0.698
Sn3 0.500 0.500 0.000
```


Energies in meV per atom, measured from the most stable structure: a 0; b 21.


a.
Material: DyIn2Sn2
Method: DFT, GGA-PBE
State: relaxed

```
data_DyIn2Sn2
_cell_length_a 5.814
_cell_length_b 5.795
_cell_length_c 8.437
_cell_angle_alpha 90.00
_cell_angle_beta 109.60
_cell_angle_gamma 90.00
_symmetry_space_group_name_H-M 'C 1 2/m 1'
_symmetry_Int_Tables_number 12
loop_
_symmetry_equiv_pos_as_xyz
'x,y,z'
'-x,-y,-z'
'-x,y,-z'
'x,-y,z'
'x+1/2,y+1/2,z'
'-x+1/2,-y+1/2,-z'
'-x+1/2,y+1/2,-z'
'x+1/2,-y+1/2,z'
loop_
_atom_site_label
_atom_site_fract_x
_atom_site_fract_y
_atom_site_fract_z
Dy1 0.000 0.000 0.000
In1 0.198 0.000 0.396
Sn1 0.100 0.500 0.203
```


b.
Material: DyIn2Sn2
Method: DFT, GGA-PBE
State: relaxed

```
data_DyIn2Sn2
_cell_length_a 4.424
_cell_length_b 26.461
_cell_length_c 4.477
_cell_angle_alpha 90.00
_cell_angle_beta 90.00
_cell_angle_gamma 90.00
_symmetry_space_group_name_H-M 'C m c m'
_symmetry_Int_Tables_number 63
_symmetry_space_group_name_Hall '-C 2c 2'
loop_
_atom_site_label
_atom_site_fract_x
_atom_site_fract_y
_atom_site_fract_z
Dy1 0.000 0.155 0.250
In1 0.000 0.053 0.750
In2 0.000 0.450 0.750
Sn1 0.000 0.250 0.750
Sn2 0.000 0.355 0.250
```


Energies in meV per atom, measured from the most stable structure: a 55; b 0.